The following is a DFT calculation (PBE) of Ac2PmSm5Ho after structural relaxation.

Results
- SG: Cmc2_1, No. 36
- Formation energy from the elements: 0.140 eV/atom
- Total energy: -79.75 eV/cell
- N(E_F): 1.40 states/eV/atom

Cell and atoms, written as CIF:
```
data_Ac2PmSm5Ho
_symmetry_space_group_name_H-M 'P 1'
_symmetry_Int_Tables_number 1
_cell_length_a 5.829
_cell_length_b 10.660
_cell_length_c 11.016
_cell_angle_alpha 90.00
_cell_angle_beta 90.00
_cell_angle_gamma 105.87
loop_
_symmetry_equiv_pos_as_xyz
'x,y,z'
loop_
_atom_site_label
_atom_site_type_symbol
_atom_site_fract_x
_atom_site_fract_y
_atom_site_fract_z
Ac1 Ac 0.111 0.221 0.734
Ac2 Ac 0.889 0.779 0.234
Ac3 Ac 0.881 0.762 0.823
Ac4 Ac 0.119 0.238 0.323
Sm1 Sm 0.285 0.570 0.303
Sm2 Sm 0.715 0.430 0.803
Sm3 Sm 0.020 0.041 0.027
Sm4 Sm 0.980 0.959 0.527
Sm5 Sm 0.297 0.593 0.699
Sm6 Sm 0.521 0.042 0.242
Sm7 Sm 0.397 0.794 0.025
Sm8 Sm 0.703 0.407 0.199
Sm9 Sm 0.603 0.206 0.525
Sm10 Sm 0.479 0.958 0.742
Ho1 Ho 0.589 0.178 0.964
Ho2 Ho 0.411 0.822 0.464
Pm1 Pm 0.792 0.585 0.507
Pm2 Pm 0.208 0.415 0.007
```